Record 1
Material: Pr4PuTl5
Method: DFT, PBE-GGA
State: relaxed

The structure in POSCAR format:
```
Pr4PuTl5
1.0
-0.1882 -2.8322 2.6720
1.8020 -2.4348 -2.4538
17.4674 5.6508 7.2201
Pr Pu Tl
4 1 5
direct
0.0000 0.0000 0.1956
0.0000 0.0000 0.3986
0.0000 0.0000 0.6014
0.0000 0.0000 0.8044
0.0000 0.0000 0.0000
0.5000 0.5000 0.0965
0.5000 0.5000 0.2974
0.5000 0.5000 0.5000
0.5000 0.5000 0.7026
0.5000 0.5000 0.9035
```

Results
**Formation enthalpy at 0 K**: -302 meV/atom
**Magnetization**: 6.2 Bohr magnetons per cell
**Crystal system**: tetragonal

---

Record 2
Material: PtRh2Pb
Method: DFT, PBE-GGA
State: relaxed

The structure in POSCAR format:
```
PtRh2Pb
1.0
4.5645 1.4823 0.2339
-0.1514 3.6107 3.1665
-1.6966 -4.4660 0.5129
Pt Rh Pb
1 2 1
direct
0.0000 0.0000 0.0000
0.7500 0.2500 0.5000
0.2500 0.7500 0.5000
0.5000 0.5000 0.0000
```

Results
**Formation enthalpy at 0 K**: 18 meV/atom
**Magnetization**: 0.0 Bohr magnetons per cell
**Crystal system**: tetragonal
**E above lowest polymorph**: 0.035 eV per atom

---

Record 3
Material: Nd2Zn4GaCu3
Method: DFT, PBE-GGA
State: relaxed

The structure in POSCAR format:
```
Nd2Zn4GaCu3
1.0
4.1031 0.0000 0.0000
0.0000 4.1031 0.0000
0.0000 0.0000 10.9065
Nd Zn Ga Cu
2 4 1 3
direct
0.5000 0.0000 0.2486
0.0000 0.5000 0.7514
0.5000 0.5000 0.0000
0.0000 0.0000 0.0000
0.5000 0.0000 0.6374
0.0000 0.5000 0.3626
0.5000 0.5000 0.5000
0.0000 0.0000 0.5000
0.5000 0.0000 0.8627
0.0000 0.5000 0.1373
```

Results
**Formation enthalpy at 0 K**: -286 meV/atom
**Magnetization**: 0.0 Bohr magnetons per cell
**Crystal system**: tetragonal